The following is a PBE calculation of crystalline Li5InGe3 at its relaxed geometry, from the Alexandria database. Values from VASP.

Spin magnetization, Bohr magnetons per cell: 0.0
Formation energy from the elements, kJ per mole of atoms: -11.1
Total energy, eV per atom: -3.0212
Crystal system: monoclinic

Structure (Quantum ESPRESSO input):
```
&SYSTEM
  ibrav = 0, nat = 18, ntyp = 3
/
ATOMIC_SPECIES
Li 6.94 Li.upf
In 114.82 In.upf
Ge 72.64 Ge.upf
CELL_PARAMETERS angstrom
6.389 -4.833 0.000
6.389 4.833 0.000
-5.974 0.000 6.375
ATOMIC_POSITIONS crystal
Li 0.225 0.764 0.327
Li 0.233 0.767 0.000
Li 0.236 0.775 0.673
Li 0.250 0.250 0.252
Li 0.252 0.252 0.587
Li 0.748 0.748 0.413
Li 0.750 0.750 0.748
Li 0.764 0.225 0.327
Li 0.767 0.233 0.000
Li 0.775 0.236 0.673
In 0.255 0.255 0.935
In 0.745 0.745 0.065
Ge 0.000 0.000 0.500
Ge 0.005 0.005 0.164
Ge 0.491 0.491 0.644
Ge 0.500 0.500 0.000
Ge 0.509 0.509 0.356
Ge 0.995 0.995 0.836
```